An optimized crystal structure of Cs3Pr2MnO6. Source: the Alexandria database, functional PBE with a Hubbard U.

a = 6.1918 Å, b = 6.1918 Å, c = 7.3481 Å
α = 100.43°, β = 100.43°, γ = 116.44°
Last column: nearest neighbours and their distance in Å.
Positions (direct):
1 O 0.0620 0.3450 0.1433  1 Mn 2.03
2 O 0.3450 0.0620 0.1433  1 Mn 2.03
3 O 0.2959 0.2959 0.7932  2 Pr 2.38
4 O 0.9380 0.6550 0.8567  1 Mn 2.03
5 O 0.6550 0.9380 0.8567  1 Mn 2.03
6 O 0.7041 0.7041 0.2068  2 Pr 2.38
7 Cs 0.5000 0.5000 0.5000  6 O 2.90-3.06
8 Cs 0.1654 0.8346 0.5000  2 O 2.92
9 Cs 0.8346 0.1654 0.5000  2 O 2.92
10 Pr 0.6644 0.3356 0.0000  6 O 2.38-2.51
11 Pr 0.3356 0.6644 0.0000  6 O 2.38-2.51
12 Mn 0.0000 0.0000 0.0000  4 O 2.03

Calculated values
- Calculated volume: 236.9 Å³ per cell
- Symmetry: C2/m, No. 12
- Total magnetic moment: 3.915 μB/f.u.
- Calculated total energy: -6.160 eV per atom